(1)
Entry from Alexandria via LeMat-Bulk: a relaxed structure of Re2TeMo (PBE-GGA).

Results
ΔE_f (raw) = 45 kJ per mole of atoms
Total magnetic moment = 0.00 μB per formula unit
Crystal system = tetragonal
Density of states at the Fermi level = 1.65 states/eV/f.u.

Unit cell a=3.1526 b=3.1526 c=6.7586 alpha=90.00 beta=90.00 gamma=90.00
Last column: nearest neighbours and their distance in Å.
Space group P4/mmm (No. 123)
Unique sites:
Re1 0.0000 0.0000 0.2319  4 Mo 2.72, 4 Te 2.87
Te1 0.5000 0.5000 0.5000  8 Re 2.87, 4 Te 3.15
Mo1 0.5000 0.5000 0.0000  8 Re 2.72



(2)
Entry from Alexandria via LeMat-Bulk: a relaxed structure of K6AuO (PBE-GGA).

Results
ΔE_f (raw) = -45 kJ per mole of atoms
Energy above the most stable polymorph in this dataset = 0.0 meV/atom
Total magnetic moment = 0.00 μB per formula unit
Crystal system = monoclinic
Density of states at the Fermi level = 3.45 states/eV/f.u.

Unit cell a=7.8603 b=13.4464 c=7.3965 alpha=90.00 beta=105.54 gamma=90.00
Last column: nearest neighbours and their distance in Å.
Space group C2/m (No. 12)
Unique sites:
K1 0.1823 0.1402 0.2309  1 O 2.69
K2 0.2439 0.0000 0.8114  1 O 2.66
Au1 0.0000 0.5000 0.5000  6 K 3.33-3.44
O1 0.0000 0.0000 0.0000  6 K 2.66-2.69